The following is a DFT calculation (GGA-PBE) of crystalline LaZnMo2 at its relaxed geometry.

The formation energy comes out at 0.556 eV per atom. As for the density: 8546 kg/m3. Its density of states at the Fermi level is 1.1536 states/eV/atom.

a = 3.401 Å, b = 4.748 Å, c = 4.768 Å
α = 90.00°, β = 90.00°, γ = 90.00°
Space group Pmmm (No. 47)
Asymmetric unit:
La 0.000 0.000 0.000 (multiplicity 1)
Zn 0.500 0.500 0.000 (multiplicity 1)
Mo 0.000 0.500 0.500 (multiplicity 1)
Mo 0.500 0.000 0.500 (multiplicity 1)